# 1
Material: AuI
Method: DFT, GGA-PBE
State: relaxed

The structure in CIF format:
```
data_AuI
_chemical_formula_sum 'Au6 I6'
_cell_length_a 11.5138
_cell_length_b 11.5138
_cell_length_c 4.5385
_cell_angle_alpha 90.00
_cell_angle_beta 90.00
_cell_angle_gamma 120.00
_symmetry_space_group_name_H-M 'P 63/m'
_symmetry_Int_Tables_number 176
_symmetry_space_group_name_Hall '-P 6c'
loop_
_atom_site_label
_atom_site_fract_x
_atom_site_fract_y
_atom_site_fract_z
Au1 0.0319 0.6990 0.2500
I1 0.1167 0.4121 0.2500
```

The value obtained for the uncorrected formation energy is 0.045 eV/atom.

=====

# 2
Material: Tb6Dy3Y2
Method: DFT, GGA-PBE
State: relaxed

The structure in CIF format:
```
data_Tb6Dy3Y2
_chemical_formula_sum 'Tb18 Dy9 Y6'
_cell_length_a 3.5589
_cell_length_b 3.5589
_cell_length_c 95.6427
_cell_angle_alpha 90.00
_cell_angle_beta 90.00
_cell_angle_gamma 120.00
_symmetry_space_group_name_H-M 'R -3 m'
_symmetry_Int_Tables_number 166
_symmetry_space_group_name_Hall '-R 3 2"'
loop_
_atom_site_label
_atom_site_fract_x
_atom_site_fract_y
_atom_site_fract_z
Tb1 0.0000 0.0000 0.0907
Tb2 0.0000 0.0000 0.1818
Tb3 0.0000 0.0000 0.3636
Dy1 0.0000 0.0000 0.0000
Dy2 0.0000 0.0000 0.2729
Y1 0.0000 0.0000 0.4544
```

As for the formation energy: 0.02 eV/atom.

=====

# 3
Material: As2PW
Method: DFT, GGA-PBE
State: relaxed

The structure in CIF format:
```
data_As2PW
_chemical_formula_sum 'As4 P2 W2'
_cell_length_a 8.213
_cell_length_b 3.275
_cell_length_c 5.697
_cell_angle_alpha 90.00
_cell_angle_beta 96.98
_cell_angle_gamma 90.00
_symmetry_space_group_name_H-M 'C 1 m 1'
_symmetry_Int_Tables_number 8
loop_
_symmetry_equiv_pos_as_xyz
'x,y,z'
'x,-y,z'
'x+1/2,y+1/2,z'
'x+1/2,-y+1/2,z'
loop_
_atom_site_label
_atom_site_fract_x
_atom_site_fract_y
_atom_site_fract_z
As1 0.000 0.000 0.000
As2 0.221 0.000 0.648
P1 0.305 0.500 0.290
W1 0.020 0.500 0.360
```

As for the formation energy: 0.09 eV/atom.

=====

# 4
Material: PmPr2Th
Method: DFT, GGA-PBE
State: relaxed

The structure in CIF format:
```
data_PmPr2Th
_chemical_formula_sum 'Pm3 Pr6 Th3'
_cell_length_a 3.6583
_cell_length_b 3.6583
_cell_length_c 36.0158
_cell_angle_alpha 90.00
_cell_angle_beta 90.00
_cell_angle_gamma 120.00
_symmetry_space_group_name_H-M 'R 3 m'
_symmetry_Int_Tables_number 160
_symmetry_space_group_name_Hall 'R 3 -2"'
loop_
_atom_site_label
_atom_site_fract_x
_atom_site_fract_y
_atom_site_fract_z
Pm1 0.0000 0.0000 0.0000
Pr1 0.0000 0.0000 0.4167
Pr2 0.0000 0.0000 0.5820
Th1 0.0000 0.0000 0.8332
```

As for the formation energy: 0.05 eV/atom.

=====

# 5
Material: ReNi
Method: DFT, GGA-PBE
State: relaxed

The structure in CIF format:
```
data_ReNi
_chemical_formula_sum 'Re6 Ni6'
_cell_length_a 4.258
_cell_length_b 7.936
_cell_length_c 4.601
_cell_angle_alpha 90.00
_cell_angle_beta 90.00
_cell_angle_gamma 90.00
_symmetry_space_group_name_H-M 'A m m 2'
_symmetry_Int_Tables_number 38
loop_
_symmetry_equiv_pos_as_xyz
'x,y,z'
'-x,-y,z'
'-x,y,z'
'x,-y,z'
'x,y+1/2,z+1/2'
'-x,-y+1/2,z+1/2'
'-x,y+1/2,z+1/2'
'x,-y+1/2,z+1/2'
loop_
_atom_site_label
_atom_site_fract_x
_atom_site_fract_y
_atom_site_fract_z
Re1 0.000 0.000 0.000
Re2 0.500 0.170 0.180
Ni1 0.000 0.161 0.509
Ni2 0.500 0.000 0.670
```

As for the formation energy: -0.02 eV/atom.

=====

# 6
Material: MgReHg
Method: DFT, GGA-PBE
State: relaxed

The structure in CIF format:
```
data_MgReHg
_chemical_formula_sum 'Mg2 Re2 Hg2'
_cell_length_a 3.072
_cell_length_b 3.065
_cell_length_c 12.584
_cell_angle_alpha 90.00
_cell_angle_beta 96.63
_cell_angle_gamma 90.00
_symmetry_space_group_name_H-M 'P 1 21/m 1'
_symmetry_Int_Tables_number 11
loop_
_symmetry_equiv_pos_as_xyz
'x,y,z'
'-x,-y,-z'
'-x,y+1/2,-z'
'x,-y+1/2,z'
loop_
_atom_site_label
_atom_site_fract_x
_atom_site_fract_y
_atom_site_fract_z
Mg1 0.151 0.250 0.292
Re1 0.276 0.250 0.556
Hg1 0.434 0.250 0.889
```

As for the formation energy: 0.03 eV/atom.

=====

# 7
Material: ScCo2BiOs
Method: DFT, GGA-PBE
State: relaxed

The structure in CIF format:
```
data_ScCo2BiOs
_chemical_formula_sum 'Sc1 Co2 Bi1 Os1'
_cell_length_a 4.669
_cell_length_b 4.669
_cell_length_c 5.356
_cell_angle_alpha 90.00
_cell_angle_beta 90.00
_cell_angle_gamma 90.00
_symmetry_space_group_name_H-M 'P 4/m m m'
_symmetry_Int_Tables_number 123
_symmetry_space_group_name_Hall '-P 4 2'
loop_
_atom_site_label
_atom_site_fract_x
_atom_site_fract_y
_atom_site_fract_z
Sc1 0.000 0.000 0.000
Co1 0.000 0.500 0.500
Bi1 0.000 0.000 0.500
Os1 0.500 0.500 0.000
```

As for the formation energy: 1.82 eV/atom.

=====

# 8
Material: Sr4MgSe
Method: DFT, GGA-PBE
State: relaxed

The structure in CIF format:
```
data_Sr4MgSe
_chemical_formula_sum 'Sr16 Mg4 Se4'
_cell_length_a 10.207
_cell_length_b 10.207
_cell_length_c 10.207
_cell_angle_alpha 90.00
_cell_angle_beta 90.00
_cell_angle_gamma 90.00
_symmetry_space_group_name_H-M 'F -4 3 m'
_symmetry_Int_Tables_number 216
_symmetry_space_group_name_Hall 'F -4 2 3'
loop_
_atom_site_label
_atom_site_fract_x
_atom_site_fract_y
_atom_site_fract_z
Sr1 0.125 0.125 0.125
Mg1 0.250 0.250 0.750
Se1 0.000 0.000 0.500
```

The value obtained for the uncorrected formation energy is 0.219 eV/atom.

=====

# 9
Material: CrPtSe2
Method: DFT, GGA-PBE
State: relaxed

The structure in CIF format:
```
data_CrPtSe2
_chemical_formula_sum 'Cr3 Pt3 Se6'
_cell_length_a 3.8858
_cell_length_b 3.8858
_cell_length_c 19.9392
_cell_angle_alpha 90.00
_cell_angle_beta 90.00
_cell_angle_gamma 120.00
_symmetry_space_group_name_H-M 'R 3 m'
_symmetry_Int_Tables_number 160
_symmetry_space_group_name_Hall 'R 3 -2"'
loop_
_atom_site_label
_atom_site_fract_x
_atom_site_fract_y
_atom_site_fract_z
Cr1 0.0000 0.0000 0.0000
Pt1 0.0000 0.0000 0.7491
Se1 0.0000 0.0000 0.2773
Se2 0.0000 0.0000 0.4607
```

The value obtained for the uncorrected formation energy is -0.177 eV/atom.

=====

Number 1: electronic total energy -2.3690 eV per atom, ρ 6.2 g cm⁻³, density of states at the Fermi level 0.661 states/eV/cell. Number 2: electronic total energy -4.9389 eV per atom, ρ 7.7 g cm⁻³, density of states at the Fermi level 44.811 states/eV/cell. Number 3: electronic total energy -6.8246 eV per atom, ρ 8.0 g cm⁻³, density of states at the Fermi level 3.452 states/eV/cell. Number 4: electronic total energy -5.3802 eV per atom, ρ 7.9 g cm⁻³, density of states at the Fermi level 19.516 states/eV/cell. Number 5: electronic total energy -9.1391 eV per atom, ρ 15.7 g cm⁻³, density of states at the Fermi level 11.288 states/eV/cell. Number 6: electronic total energy -4.7500 eV per atom, ρ 11.6 g cm⁻³, density of states at the Fermi level 2.791 states/eV/cell. Number 7: electronic total energy -5.3105 eV per atom, ρ 8.0 g cm⁻³, density of states at the Fermi level 7.817 states/eV/cell. Number 8: electronic total energy -1.7483 eV per atom, ρ 2.8 g cm⁻³, density of states at the Fermi level 31.085 states/eV/cell. Number 9: electronic total energy -5.8350 eV per atom, ρ 7.7 g cm⁻³, density of states at the Fermi level 5.381 states/eV/cell.